Compound: Ac2CdSb
Source: the Alexandria database
Functional: PBE
Structure: optimized geometry

Cell lengths 5.7664, 5.7664, 5.7664 Å; angles 60.00, 60.00, 60.00 degrees
With the nearest neighbours (Å) after each atom.
Sites, in units of the cell vectors:
Sb 0.5000 0.5000 0.5000  8 Ac 3.53
Ac 0.7500 0.7500 0.7500  4 Sb 3.53, 4 Cd 3.53
Ac 0.2500 0.2500 0.2500  4 Cd 3.53, 4 Sb 3.53
Cd 0.0000 0.0000 0.0000  8 Ac 3.53

Summary:
Energy above the most stable polymorph in this dataset in eV per formula unit: 0.33
Uncorrected formation energy in eV per atom: -0.56
Symmetry: No. 225

***

Compound: SrMgSi2
Source: the Alexandria database
Functional: PBE
Structure: optimized geometry

Cell lengths 4.8032, 4.8032, 5.9942 Å; angles 72.37, 72.37, 47.67 degrees
With the nearest neighbours (Å) after each atom.
Sites, in units of the cell vectors:
Si 0.5076 0.5076 0.3823  2 Si 2.54, 3 Mg 2.63-2.80
Si 0.9924 0.9924 0.1177  2 Si 2.54, 3 Mg 2.63-2.80
Mg 0.2500 0.2500 0.2500  6 Si 2.63-2.80
Sr 0.7500 0.7500 0.7500  6 Si 3.23-3.54, 4 Mg 3.57

Summary:
Uncorrected formation energy in eV per atom: -0.24
Symmetry: No. 12

***

Compound: Mg6Ga2Ag
Source: the Alexandria database
Functional: PBE
Structure: optimized geometry

Cell lengths 4.6581, 4.9893, 8.9049 Å; angles 96.54, 90.00, 117.83 degrees
With the nearest neighbours (Å) after each atom.
Sites, in units of the cell vectors:
Mg 0.6634 0.3268 0.4012  3 Ag 2.93-2.99, 4 Ga 2.94-3.07, 5 Mg 3.09-3.24
Mg 0.3366 0.6732 0.5988  3 Ag 2.93-2.99, 4 Ga 2.94-3.07, 5 Mg 3.09-3.24
Mg 0.0018 0.0036 0.1827  1 Ag 2.83, 3 Ga 2.90-2.93, 3 Mg 3.03-3.04
Mg 0.9982 0.9964 0.8173  1 Ag 2.83, 3 Ga 2.90-2.93, 3 Mg 3.03-3.04
Mg 0.3334 0.6669 0.9454  1 Ga 2.88, 7 Mg 2.98-3.09
Mg 0.6666 0.3331 0.0546  1 Ga 2.88, 7 Mg 2.98-3.09
Ga 0.6701 0.3402 0.7320  8 Mg 2.88-3.07
Ga 0.3299 0.6598 0.2680  8 Mg 2.88-3.07
Ag 0.0000 0.0000 0.5000  8 Mg 2.83-2.99

Summary:
Energy above the most stable polymorph in this dataset in eV per formula unit: 0.00
Energy of formation from the pure elements in eV per atom: -0.089
Symmetry: No. 12

***

Compound: K3Pa3Te8Rh
Source: the Alexandria database
Functional: PBE
Structure: optimized geometry

Cell lengths 8.5253, 8.5186, 9.9940 Å; angles 115.20, 90.00, 120.01 degrees
With the nearest neighbours (Å) after each atom.
Sites, in units of the cell vectors:
K 0.0000 0.5000 0.0000  6 Te 3.47-3.55
K 0.0000 0.0000 0.0000  6 Te 3.47-3.55
K 0.5000 0.5000 0.0000  6 Te 3.47-3.55
Te 0.7595 0.9776 0.6958  1 Rh 2.83, 2 Pa 3.08
Te 0.7819 0.5637 0.3042  1 Rh 2.83, 2 Pa 3.08
Te 0.2181 0.9776 0.6959  1 Rh 2.83, 2 Pa 3.08
Te 0.2405 0.0224 0.3042  1 Rh 2.83, 2 Pa 3.08
Te 0.2181 0.4363 0.6958  1 Rh 2.83, 2 Pa 3.08
Te 0.7395 0.4790 0.7185  3 Pa 3.11, 3 K 3.47
Te 0.7819 0.0224 0.3041  1 Rh 2.83, 2 Pa 3.08
Te 0.2605 0.5210 0.2815  3 Pa 3.11, 3 K 3.47
Pa 0.5000 0.5000 0.5000  6 Te 3.08-3.11
Pa 0.5000 0.0000 0.5000  6 Te 3.08-3.11
Pa 0.0000 0.5000 0.5000  6 Te 3.08-3.11
Rh 0.0000 0.0000 0.5000  6 Te 2.83

Summary:
Uncorrected formation energy in eV per atom: -0.80
Symmetry: No. 12

***

Compound: Cu2HgPd2
Source: the Alexandria database
Functional: PBE
Structure: optimized geometry

Cell lengths 7.3483, 7.3483, 2.9205 Å; angles 90.00, 90.00, 90.00 degrees
With the nearest neighbours (Å) after each atom.
Sites, in units of the cell vectors:
Cu 0.3428 0.1572 0.5000  6 Pd 2.58-2.62
Cu 0.1572 0.6572 0.5000  6 Pd 2.58-2.62
Cu 0.8428 0.3428 0.5000  6 Pd 2.58-2.62
Cu 0.6572 0.8428 0.5000  6 Pd 2.58-2.62
Pd 0.3625 0.8625 0.0000  6 Cu 2.58-2.62, 2 Hg 2.85, 1 Pd 2.86
Pd 0.6375 0.1375 0.0000  6 Cu 2.58-2.62, 2 Hg 2.85, 1 Pd 2.86
Pd 0.8625 0.6375 0.0000  6 Cu 2.58-2.62, 2 Hg 2.85, 1 Pd 2.86
Pd 0.1375 0.3625 0.0000  6 Cu 2.58-2.62, 2 Hg 2.85, 1 Pd 2.86
Hg 0.5000 0.5000 0.0000  4 Pd 2.85, 2 Hg 2.92, 8 Cu 3.13
Hg 0.0000 0.0000 0.0000  4 Pd 2.85, 2 Hg 2.92, 8 Cu 3.13

Summary:
Energy above the most stable polymorph in this dataset in eV per formula unit: 0.13
Energy of formation from the pure elements in eV per atom: -0.001
Symmetry: No. 127

***

Compound: CeHoSc2As4
Source: the Alexandria database
Functional: PBE
Structure: optimized geometry

Cell lengths 4.0288, 6.9339, 6.9739 Å; angles 70.49, 90.00, 90.00 degrees
With the nearest neighbours (Å) after each atom.
Sites, in units of the cell vectors:
Sc 0.5000 0.0000 0.5000  6 As 2.77-2.78
Sc 0.0000 0.0000 0.0000  6 As 2.79
As 0.5000 0.7648 0.2467  3 Sc 2.78-2.79, 2 Ho 2.90, 1 Ce 2.91
As 0.5000 0.2352 0.7533  3 Sc 2.78-2.79, 2 Ho 2.90, 1 Ce 2.91
As 0.0000 0.2325 0.2583  3 Sc 2.77-2.79, 1 Ho 2.89, 2 Ce 2.92
As 0.0000 0.7675 0.7417  3 Sc 2.77-2.79, 1 Ho 2.89, 2 Ce 2.92
Ho 0.0000 0.5000 0.5000  6 As 2.89-2.90
Ce 0.5000 0.5000 0.0000  6 As 2.91-2.92

Summary:
Energy of formation from the pure elements in eV per atom: -1.414
Symmetry: No. 10

***

Compound: Ac5BN8
Source: the Alexandria database
Functional: PBE
Structure: optimized geometry

Cell lengths 6.8226, 6.8226, 6.8226 Å; angles 104.14, 120.76, 104.14 degrees
With the nearest neighbours (Å) after each atom.
Sites, in units of the cell vectors:
N 0.0011 0.2586 0.5271  1 N 1.47, 1 B 1.64
N 0.6541 0.3938 0.8800  1 N 1.47
N 0.7397 0.2259 0.3459  1 N 1.47
N 0.4862 0.6062 0.2603  1 N 1.47
N 0.1200 0.7741 0.5138  1 N 1.47
N 0.2685 0.7414 0.7424  1 N 1.47, 1 B 1.64
N 0.4729 0.4739 0.7315  1 N 1.47, 1 B 1.64
N 0.2576 0.5261 0.9989  1 N 1.47, 1 B 1.64
B 0.2500 0.5000 0.7500  4 N 1.64
Ac 0.3461 0.1690 0.9393  6 N 2.53-2.81
Ac 0.5000 0.0000 0.5000  4 N 2.73
Ac 0.7703 0.8310 0.1771  6 N 2.53-2.81
Ac 0.0607 0.4068 0.2297  6 N 2.53-2.81
Ac 0.8229 0.5932 0.6539  6 N 2.53-2.81

Summary:
Uncorrected formation energy in eV per atom: -0.60
Symmetry: No. 82

***

Compound: Cd7Pd2Pt2
Source: the Alexandria database
Functional: PBE
Structure: optimized geometry

Cell lengths 6.0459, 6.7917, 6.0459 Å; angles 90.00, 100.83, 90.00 degrees
With the nearest neighbours (Å) after each atom.
Sites, in units of the cell vectors:
Cd 0.5001 0.7160 0.4999  2 Pt 2.76, 2 Pd 2.88, 5 Cd 2.93-3.02
Cd 0.9998 0.2811 0.4998  2 Pt 2.74, 2 Pd 2.82, 3 Cd 2.97-3.02
Cd 0.0002 0.7189 0.5002  2 Pt 2.74, 2 Pd 2.82, 3 Cd 2.97-3.02
Cd 0.4998 0.7189 0.9998  2 Pt 2.74, 2 Pd 2.82, 3 Cd 2.97-3.02
Cd 0.4999 0.2840 0.5001  2 Pt 2.76, 2 Pd 2.88, 5 Cd 2.93-3.02
Cd 0.0000 0.0000 0.0000  2 Pt 2.69
Cd 0.5002 0.2811 0.0002  2 Pt 2.74, 2 Pd 2.82, 3 Cd 2.97-3.02
Pt 0.7118 0.9999 0.2882  7 Cd 2.69-2.76
Pt 0.2882 0.0001 0.7118  7 Cd 2.69-2.76
Pd 0.8213 0.5000 0.8213  1 Pd 2.75, 6 Cd 2.82-2.88
Pd 0.1787 0.5000 0.1787  1 Pd 2.75, 6 Cd 2.82-2.88

Summary:
Energy of formation from the pure elements in eV per atom: -0.102
Symmetry: No. 65

***

VASP energy readings, ordered: -0.2849, -0.2768, -0.1574, -0.3735, -0.2776, -0.4877, -0.5367, -0.2004 Ry per atom
Spin magnetization readings, ordered: 0.000, 0.000, 0.000, 4.207, 0.000, 0.485, 0.000, 0.000 μB/f.u.